Model P:
Ti2ZnTc2 | Alexandria via LeMat-Bulk | GGA-PBE | relaxed; size of the total moment = 0.00 μB/f.u.; DOS(E_F) = 5.70 states/eV/cell; crystal system = tetragonal; calculated volume = 88 Å³/cell
1.0
-1.9935 1.9935 5.5388
1.9935 -1.9935 5.5388
1.9935 1.9935 -5.5388
Ti Zn Tc
2 1 2
direct
0.2500 0.7500 0.5000 Ti
0.7500 0.2500 0.5000 Ti
0.0000 0.0000 0.0000 Zn
0.3901 0.3901 0.0000 Tc
0.6099 0.6099 0.0000 Tc

Model Q:
Ti2ZnTc2 | Alexandria via LeMat-Bulk | GGA-PBE | relaxed; size of the total moment = 0.00 μB/f.u.; DOS(E_F) = 4.43 states/eV/cell; crystal system = tetragonal; calculated volume = 159 Å³/cell
1.0
6.9770 0.0000 0.0000
0.0000 6.9770 0.0000
0.0000 0.0000 3.2581
Ti Zn Tc
4 2 4
direct
0.1570 0.3430 0.0000 Ti
0.3430 0.8430 0.0000 Ti
0.6570 0.1570 0.0000 Ti
0.8430 0.6570 0.0000 Ti
0.0000 0.0000 0.5000 Zn
0.5000 0.5000 0.5000 Zn
0.1461 0.6461 0.5000 Tc
0.3539 0.1461 0.5000 Tc
0.6461 0.8539 0.5000 Tc
0.8539 0.3539 0.5000 Tc

Relative calculated energies, zero for the most stable structure, unit meV per atom: model P 490; model Q 0.

Model P:
Ti4ZnTc | Alexandria via LeMat-Bulk | GGA-PBE | relaxed; size of the total moment = 0.00 μB/f.u.; DOS(E_F) = 6.01 states/eV/cell; crystal system = monoclinic; calculated volume = 96 Å³/cell
1.0
5.2057 -1.5686 0.0000
5.2057 1.5686 0.0000
-1.8484 0.0000 5.8511
Ti Zn Tc
4 1 1
direct
0.1574 0.1574 0.3176 Ti
0.1597 0.1597 0.8373 Ti
0.8403 0.8403 0.1627 Ti
0.8426 0.8426 0.6824 Ti
0.5000 0.5000 0.5000 Zn
0.5000 0.5000 0.0000 Tc

Model Q:
Ti4ZnTc | Alexandria via LeMat-Bulk | GGA-PBE | relaxed; size of the total moment = 0.00 μB/f.u.; DOS(E_F) = 9.52 states/eV/cell; crystal system = monoclinic; calculated volume = 111 Å³/cell
1.0
3.8059 -2.1904 0.0000
3.8059 2.1904 0.0000
-2.5195 0.0000 6.6815
Ti Zn Tc
4 1 1
direct
0.1221 0.1221 0.3649 Ti
0.3689 0.3689 0.1062 Ti
0.6311 0.6311 0.8938 Ti
0.8779 0.8779 0.6351 Ti
0.5000 0.5000 0.5000 Zn
0.0000 0.0000 0.0000 Tc

Relative calculated energies, zero for the most stable structure, unit meV per atom: model P 0; model Q 474.

Model P:
TiZn2Tc | Alexandria via LeMat-Bulk | GGA-PBE | relaxed; size of the total moment = 0.00 μB/f.u.; DOS(E_F) = 5.25 states/eV/cell; crystal system = tetragonal; calculated volume = 128 Å³/cell
1.0
-1.8151 1.8151 9.6797
1.8151 -1.8151 9.6797
1.8151 1.8151 -9.6797
Ti Zn Tc
2 4 2
direct
0.0000 0.0000 0.0000 Ti
0.7500 0.2500 0.5000 Ti
0.1380 0.6250 0.0130 Zn
0.3750 0.3880 0.5130 Zn
0.6120 0.1250 0.9870 Zn
0.8750 0.8620 0.4870 Zn
0.2500 0.7500 0.5000 Tc
0.5000 0.5000 0.0000 Tc

Model Q:
TiZn2Tc | Alexandria via LeMat-Bulk | GGA-PBE | relaxed; size of the total moment = 0.00 μB/f.u.; DOS(E_F) = 3.63 states/eV/cell; crystal system = cubic; calculated volume = 59 Å³/cell
1.0
0.0000 3.0820 3.0820
3.0820 0.0000 3.0820
3.0820 3.0820 0.0000
Ti Zn Tc
1 2 1
direct
0.0000 0.0000 0.0000 Ti
0.2500 0.2500 0.2500 Zn
0.7500 0.7500 0.7500 Zn
0.5000 0.5000 0.5000 Tc

Relative calculated energies, zero for the most stable structure, unit meV per atom: model P 222; model Q 0.

Model P:
ZrTi2Tc2 | Alexandria via LeMat-Bulk | GGA-PBE | relaxed; size of the total moment = 0.00 μB/f.u.; DOS(E_F) = 6.76 states/eV/cell; crystal system = tetragonal; calculated volume = 171 Å³/cell
1.0
7.3937 0.0000 0.0000
0.0000 7.3937 0.0000
0.0000 0.0000 3.1365
Zr Ti Tc
2 4 4
direct
0.0000 0.0000 0.0000 Zr
0.5000 0.5000 0.0000 Zr
0.1449 0.3551 0.5000 Ti
0.3551 0.8551 0.5000 Ti
0.6449 0.1449 0.5000 Ti
0.8551 0.6449 0.5000 Ti
0.1515 0.6515 0.0000 Tc
0.3485 0.1515 0.0000 Tc
0.6515 0.8485 0.0000 Tc
0.8485 0.3485 0.0000 Tc

Model Q:
ZrTi2Tc2 | Alexandria via LeMat-Bulk | GGA-PBE | relaxed; size of the total moment = 0.00 μB/f.u.; DOS(E_F) = 4.00 states/eV/cell; crystal system = tetragonal; calculated volume = 91 Å³/cell
1.0
-1.9924 1.9924 5.7221
1.9924 -1.9924 5.7221
1.9924 1.9924 -5.7221
Zr Ti Tc
1 2 2
direct
0.0000 0.0000 0.0000 Zr
0.2500 0.7500 0.5000 Ti
0.7500 0.2500 0.5000 Ti
0.3903 0.3903 0.0000 Tc
0.6097 0.6097 0.0000 Tc

Relative calculated energies, zero for the most stable structure, unit meV per atom: model P 0; model Q 139.

Model P:
ZrTi4Tc | Alexandria via LeMat-Bulk | GGA-PBE | relaxed; size of the total moment = 0.00 μB/f.u.; DOS(E_F) = 6.20 states/eV/cell; crystal system = monoclinic; calculated volume = 105 Å³/cell
1.0
4.9228 -2.2689 0.0000
4.9228 2.2689 0.0000
-3.0990 0.0000 4.7082
Zr Ti Tc
1 4 1
direct
0.0000 0.0000 0.0000 Zr
0.2937 0.2937 0.6446 Ti
0.3504 0.3504 0.1974 Ti
0.6496 0.6496 0.8026 Ti
0.7063 0.7063 0.3554 Ti
0.0000 0.0000 0.5000 Tc

Model Q:
ZrTi4Tc | Alexandria via LeMat-Bulk | GGA-PBE | relaxed; size of the total moment = 0.00 μB/f.u.; DOS(E_F) = 9.93 states/eV/cell; crystal system = tetragonal; calculated volume = 123 Å³/cell
1.0
4.1252 0.0000 0.0000
0.0000 4.1252 0.0000
0.0000 0.0000 7.2545
Zr Ti Tc
1 4 1
direct
0.0000 0.0000 0.0000 Zr
0.0000 0.5000 0.2887 Ti
0.0000 0.5000 0.7113 Ti
0.5000 0.0000 0.2887 Ti
0.5000 0.0000 0.7113 Ti
0.5000 0.5000 0.5000 Tc

Relative calculated energies, zero for the most stable structure, unit meV per atom: model P 0; model Q 651.

Model P:
TlTc | Alexandria via LeMat-Bulk | GGA-PBE | relaxed; size of the total moment = 2.07 μB/f.u.; DOS(E_F) = 1.20 states/eV/cell; crystal system = cubic; calculated volume = 44 Å³/cell
1.0
0.0000 2.7974 2.7974
2.7974 0.0000 2.7974
2.7974 2.7974 0.0000
Tl Tc
1 1
direct
0.0000 0.0000 0.0000 Tl
0.5000 0.5000 0.5000 Tc

Model Q:
TlTc | Alexandria via LeMat-Bulk | GGA-PBE | relaxed; size of the total moment = 0.00 μB/f.u.; DOS(E_F) = 2.80 states/eV/cell; crystal system = trigonal; calculated volume = 79 Å³/cell
1.0
1.5396 0.8889 9.6599
-1.5396 0.8889 9.6599
0.0000 -1.7778 9.6599
Tl Tc
2 2
direct
0.1169 0.1169 0.1169 Tl
0.8831 0.8831 0.8831 Tl
0.3651 0.3651 0.3651 Tc
0.6349 0.6349 0.6349 Tc

Model R:
TlTc | Alexandria via LeMat-Bulk | GGA-PBE | relaxed; size of the total moment = 0.05 μB/f.u.; DOS(E_F) = 2.55 states/eV/cell; crystal system = hexagonal; calculated volume = 37 Å³/cell
1.0
3.0840 0.0000 0.0000
-1.5420 2.6708 0.0000
0.0000 0.0000 4.5353
Tl Tc
1 1
direct
0.0000 0.0000 0.0000 Tl
0.3333 0.6667 0.5000 Tc

Relative calculated energies, zero for the most stable structure, unit meV per atom: model P 725; model Q 0; model R 309.

Model P:
Tl2Tc | Alexandria via LeMat-Bulk | GGA-PBE | relaxed; size of the total moment = 2.10 μB/f.u.; DOS(E_F) = 5.78 states/eV/cell; crystal system = hexagonal; calculated volume = 135 Å³/cell
1.0
5.0995 0.0000 0.0000
-2.5497 4.4163 0.0000
0.0000 0.0000 5.9911
Tl Tc
4 2
direct
0.0000 0.0000 0.0000 Tl
0.0000 0.0000 0.5000 Tl
0.3333 0.6667 0.2500 Tl
0.6667 0.3333 0.7500 Tl
0.3333 0.6667 0.7500 Tc
0.6667 0.3333 0.2500 Tc

Model Q:
Tl2Tc | Alexandria via LeMat-Bulk | GGA-PBE | relaxed; size of the total moment = 1.15 μB/f.u.; DOS(E_F) = 4.18 states/eV/cell; crystal system = cubic; calculated volume = 73 Å³/cell
1.0
0.0000 3.3246 3.3246
3.3246 0.0000 3.3246
3.3246 3.3246 0.0000
Tl Tc
2 1
direct
0.2500 0.2500 0.2500 Tl
0.7500 0.7500 0.7500 Tl
0.0000 0.0000 0.0000 Tc

Model R:
Tl2Tc | Alexandria via LeMat-Bulk | GGA-PBE | relaxed; size of the total moment = 0.00 μB/f.u.; DOS(E_F) = 5.62 states/eV/cell; crystal system = tetragonal; calculated volume = 134 Å³/cell
1.0
-3.4970 3.4970 2.7353
3.4970 -3.4970 2.7353
3.4970 3.4970 -2.7353
Tl Tc
4 2
direct
0.1713 0.6713 0.8426 Tl
0.3287 0.1713 0.5000 Tl
0.6713 0.8287 0.5000 Tl
0.8287 0.3287 0.1574 Tl
0.2500 0.2500 0.0000 Tc
0.7500 0.7500 0.0000 Tc

Model S:
Tl2Tc | Alexandria via LeMat-Bulk | GGA-PBE | relaxed; size of the total moment = 0.00 μB/f.u.; DOS(E_F) = 7.60 states/eV/cell; crystal system = hexagonal; calculated volume = 194 Å³/cell
1.0
7.9940 0.0000 0.0000
-3.9970 6.9230 0.0000
0.0000 0.0000 3.5002
Tl Tc
6 3
direct
0.0000 0.2695 0.0000 Tl
0.0000 0.5932 0.5000 Tl
0.2695 0.0000 0.0000 Tl
0.4068 0.4068 0.5000 Tl
0.5932 0.0000 0.5000 Tl
0.7305 0.7305 0.0000 Tl
0.0000 0.0000 0.5000 Tc
0.3333 0.6667 0.0000 Tc
0.6667 0.3333 0.0000 Tc

Relative calculated energies, zero for the most stable structure, unit meV per atom: model P 485; model Q 382; model R 0; model S 281.

Model P:
Tl2Tc | Alexandria via LeMat-Bulk | GGA-PBE | relaxed; size of the total moment = 0.44 μB/f.u.; DOS(E_F) = 5.26 states/eV/cell; crystal system = orthorhombic; calculated volume = 134 Å³/cell
1.0
1.6214 -8.3002 0.0000
1.6214 8.3002 0.0000
0.0000 0.0000 4.9805
Tl Tc
4 2
direct
0.0628 0.9372 0.7500 Tl
0.3590 0.6410 0.7500 Tl
0.6410 0.3590 0.2500 Tl
0.9372 0.0628 0.2500 Tl
0.2807 0.7193 0.2500 Tc
0.7193 0.2807 0.7500 Tc

Model Q:
Tl2Tc | Alexandria via LeMat-Bulk | GGA-PBE | relaxed; size of the total moment = 3.22 μB/f.u.; DOS(E_F) = 3.99 states/eV/cell; crystal system = cubic; calculated volume = 153 Å³/cell
1.0
0.0000 4.2451 4.2451
4.2451 0.0000 4.2451
4.2451 4.2451 0.0000
Tl Tc
4 2
direct
0.0000 0.0000 0.0000 Tl
0.0000 0.0000 0.5000 Tl
0.0000 0.5000 0.0000 Tl
0.5000 0.0000 0.0000 Tl
0.3750 0.3750 0.3750 Tc
0.6250 0.6250 0.6250 Tc

Model R:
Tl2Tc | Alexandria via LeMat-Bulk | GGA-PBE | relaxed; size of the total moment = 0.00 μB/f.u.; DOS(E_F) = 2.90 states/eV/cell; crystal system = monoclinic; calculated volume = 149 Å³/cell
1.0
5.0809 -1.5996 0.0000
5.0809 1.5996 0.0000
-2.4954 0.0000 9.1794
Tl Tc
4 2
direct
0.0000 0.0000 0.0000 Tl
0.3725 0.3725 0.5717 Tl
0.5774 0.5774 0.3434 Tl
0.6823 0.6823 0.7701 Tl
0.2836 0.2836 0.0730 Tc
0.8240 0.8240 0.2643 Tc

Model S:
Tl2Tc | Alexandria via LeMat-Bulk | GGA-PBE | relaxed; size of the total moment = 1.89 μB/f.u.; DOS(E_F) = 3.00 states/eV/cell; crystal system = tetragonal; calculated volume = 69 Å³/cell
1.0
-1.5794 1.5794 6.9028
1.5794 -1.5794 6.9028
1.5794 1.5794 -6.9028
Tl Tc
2 1
direct
0.1439 0.1439 0.0000 Tl
0.8561 0.8561 0.0000 Tl
0.5000 0.5000 0.0000 Tc

Relative calculated energies, zero for the most stable structure, unit meV per atom: model P 222; model Q 937; model R 0; model S 316.

Model P:
Tl2Tc | Alexandria via LeMat-Bulk | GGA-PBE | relaxed; size of the total moment = 1.30 μB/f.u.; DOS(E_F) = 12.16 states/eV/cell; crystal system = hexagonal; calculated volume = 301 Å³/cell
1.0
5.6749 0.0000 0.0000
-2.8375 4.9146 0.0000
0.0000 0.0000 10.7818
Tl Tc
8 4
direct
0.0000 0.0000 0.0000 Tl
0.0000 0.0000 0.5000 Tl
0.1688 0.3376 0.2500 Tl
0.1688 0.8312 0.2500 Tl
0.3376 0.1688 0.7500 Tl
0.6624 0.8312 0.2500 Tl
0.8312 0.1688 0.7500 Tl
0.8312 0.6624 0.7500 Tl
0.3333 0.6667 0.0137 Tc
0.3333 0.6667 0.4863 Tc
0.6667 0.3333 0.5137 Tc
0.6667 0.3333 0.9863 Tc

Model Q:
Tl2Tc | Alexandria via LeMat-Bulk | GGA-PBE | relaxed; size of the total moment = 0.41 μB/f.u.; DOS(E_F) = 4.55 states/eV/cell; crystal system = orthorhombic; calculated volume = 126 Å³/cell
1.0
1.8367 -7.4859 0.0000
1.8367 7.4859 0.0000
0.0000 0.0000 4.5865
Tl Tc
4 2
direct
0.0691 0.9309 0.7500 Tl
0.2440 0.7560 0.2500 Tl
0.7560 0.2440 0.7500 Tl
0.9309 0.0691 0.2500 Tl
0.4056 0.5944 0.7500 Tc
0.5944 0.4056 0.2500 Tc

Model R:
Tl2Tc | Alexandria via LeMat-Bulk | GGA-PBE | relaxed; size of the total moment = 0.00 μB/f.u.; DOS(E_F) = 4.54 states/eV/cell; crystal system = monoclinic; calculated volume = 151 Å³/cell
1.0
6.0087 -1.7225 0.0000
6.0087 1.7225 0.0000
-4.0392 0.0000 7.2848
Tl Tc
4 2
direct
0.0225 0.0225 0.2118 Tl
0.3376 0.3376 0.3835 Tl
0.6624 0.6624 0.6165 Tl
0.9775 0.9775 0.7882 Tl
0.2947 0.2947 0.9577 Tc
0.7053 0.7053 0.0423 Tc

Relative calculated energies, zero for the most stable structure, unit meV per atom: model P 837; model Q 299; model R 0.